Entry 1:
# CuTcW2, optimized geometry, DFT PBE
data_CuTcW2
_chemical_formula_sum 'Cu1 Tc1 W2'
_space_group_name_H-M_alt 'P 1 2/m 1'
_space_group_IT_number 10
_cell_length_a 2.666
_cell_length_b 4.359
_cell_length_c 5.260
_cell_angle_alpha 90.00
_cell_angle_beta 101.59
_cell_angle_gamma 90.00
loop_
_space_group_symop_operation_xyz
'x,y,z'
'-x,-y,-z'
'-x,y,-z'
'x,-y,z'
loop_
_atom_site_label
_atom_site_type_symbol
_atom_site_fract_x
_atom_site_fract_y
_atom_site_fract_z
_atom_site_occupancy
Cu1 Cu 0.000 0.000 0.000 1
Tc1 Tc 0.500 0.000 0.500 1
W1 W 0.253 0.500 0.752 1
# ρ = 14.67 g/cm³
# N(E_F) = 0.7093 states/eV/atom
# distance to the lowest polymorph of the same formula = 0.054 eV per atom


Entry 2:
# Sc8Os2Au, optimized geometry, DFT PBE
data_Sc8Os2Au
_chemical_formula_sum 'Sc16 Os4 Au2'
_space_group_name_H-M_alt 'I m m 2'
_space_group_IT_number 44
_cell_length_a 4.783
_cell_length_b 14.617
_cell_length_c 6.500
_cell_angle_alpha 90.00
_cell_angle_beta 90.00
_cell_angle_gamma 90.00
loop_
_space_group_symop_operation_xyz
'x,y,z'
'-x,-y,z'
'-x,y,z'
'x,-y,z'
'x+1/2,y+1/2,z+1/2'
'-x+1/2,-y+1/2,z+1/2'
'-x+1/2,y+1/2,z+1/2'
'x+1/2,-y+1/2,z+1/2'
loop_
_atom_site_label
_atom_site_type_symbol
_atom_site_fract_x
_atom_site_fract_y
_atom_site_fract_z
_atom_site_occupancy
Sc1 Sc 0.000 0.000 0.000 1
Sc2 Sc 0.000 0.112 0.573 1
Sc3 Sc 0.000 0.293 0.887 1
Sc4 Sc 0.000 0.337 0.426 1
Sc5 Sc 0.000 0.500 0.790 1
Os1 Os 0.000 0.169 0.191 1
Au1 Au 0.000 0.500 0.207 1
# ρ = 6.85 g/cm³
# E = -161.8 eV per cell
# N(E_F) = 1.0852 states/eV/atom


Among the records above, which one has the highest N(E_F)? Sc8Os2Au